Record 1
Compound: BaAcSm2
Source: Alexandria
Functional: GGA-PBE
Structure: optimized geometry

Cell: 3.8716 3.8716 11.0574 Å, 90.00 90.00 90.00°
Element x y z (fractional)
1 Ac 0.5000 0.5000 0.0000
2 Ba 0.5000 0.5000 0.5000
3 Sm 0.0000 0.0000 0.7716
4 Sm 0.0000 0.0000 0.2284

Formation energy ... 0.137 eV per atom
ΔE to the lowest computed polymorph ... 0.00 kcal/mol of atoms
Space group ... P4/mmm

***

Record 2
Compound: BaAc4Sm
Source: Alexandria
Functional: GGA-PBE
Structure: optimized geometry

Cell: 7.3911 7.3911 7.3911 Å, 60.00 60.00 60.00°
Element x y z (fractional)
1 Ac 0.6229 0.6229 0.1314
2 Ac 0.6229 0.1314 0.6229
3 Ac 0.6229 0.6229 0.6229
4 Ac 0.1314 0.6229 0.6229
5 Ba 0.0000 0.0000 0.0000
6 Sm 0.2500 0.2500 0.2500

Formation energy ... 0.282 eV per atom
ΔE to the lowest computed polymorph ... 5.30 kcal/mol of atoms
Space group ... F-43m

***

no.,V (A^3/atom)
1,41.44
2,47.58